Computed, not measured: a relaxed SmNi5H7 crystal at the PBE level of DFT.

Computed properties:
uncorrected energy	-58.62	eV for the cell shown
density of states at the Fermi level	7.65	states/eV/cell
SG	Cm, No. 8
calculated density	6.96	Mg/m³

Cell lengths 5.0129, 5.6827, 5.6828 Å; angles 105.40, 63.94, 63.94 degrees
Last column: magnetic moment on the atom in μB.
Atoms (fractional coordinates):
H 0.0766 0.1714 0.6728  0.00
H 0.5669 0.6720 0.6719  0.00
H 0.0898 0.6708 0.6708  0.00
H 0.0766 0.6728 0.1715  0.00
H 0.2885 0.2164 0.2164  0.00
H 0.5805 0.6648 0.1725  0.00
H 0.5805 0.1725 0.6648  0.00
Sm 0.8129 0.1892 0.1892  0.00
Ni 0.0864 0.4702 0.8659  0.02
Ni 0.5758 0.4698 0.8669  0.02
Ni 0.6032 0.8972 0.8971  0.08
Ni 0.0864 0.8659 0.4702  0.02
Ni 0.5758 0.8669 0.4698  0.02

***

Computed, not measured: a relaxed AcCe2PmP4 crystal at the PBE level of DFT.

Computed properties:
density of states at the Fermi level	9.56	states/eV/cell
SG	P2/m, No. 10
calculated density	6.19	Mg/m³
energy of formation	-1.48	eV per atom

Cell lengths 4.1878, 7.2614, 7.2644 Å; angles 70.59, 90.00, 90.00 degrees
Last column: magnetic moment on the atom in μB.
Atoms (fractional coordinates):
Ce 0.0000 0.0000 0.0000  0.57
Ce 0.5000 0.0000 0.5000  0.41
P 0.5000 0.2391 0.7456  -0.02
P 0.5000 0.7609 0.2544  -0.02
P 0.0000 0.2323 0.2644  -0.01
P 0.0000 0.7677 0.7356  -0.01
Pm 0.0000 0.5000 0.5000  0.01
Ac 0.5000 0.5000 0.0000  0.01